This record from Alexandria describes an optimized crystal structure of TbPm3Sc2S6. The functional is PBE.

Cell lengths 6.724, 6.724, 6.844 Å; angles 99.43, 99.43, 120.16 degrees
Element x y z (fractional)
Tb: 0.000 0.000 0.000
Pm: 0.163 0.837 0.500
Pm: 0.837 0.163 0.500
Pm: 0.500 0.500 0.500
Sc: 0.334 0.666 0.000
Sc: 0.666 0.334 0.000
S: 0.924 0.580 0.771
S: 0.731 0.731 0.225
S: 0.076 0.420 0.229
S: 0.580 0.924 0.771
S: 0.269 0.269 0.775
S: 0.420 0.076 0.229

Properties
ρ = 5.76 Mg/m³
E_form (uncorrected) = -1.9595 eV/atom
D(E_F) = 5.3 states/eV/f.u.
Symmetry = C2/m (12)
Total magnetic moment = 0.00 μB per cell